No. 1
This record from Alexandria describes a relaxed structure of Gd2HoAl. The functional is PBE.

Calculated values
space-group type	Fm-3m (225)
total magnetization	15.4	μB per cell
offset from the most stable computed form	117	meV per atom
ΔH_f (0 K)	-0.081	eV/atom

Cell and atoms, written as POSCAR:
```
Gd2HoAl
1.0
0.000 3.790 3.790
3.790 0.000 3.790
3.790 3.790 0.000
Gd Ho Al
2 1 1
Direct
0.250 0.250 0.250 Gd
0.750 0.750 0.750 Gd
0.000 0.000 0.000 Ho
0.500 0.500 0.500 Al
```

No. 2
This record from Alexandria describes a relaxed structure of GdHoAlIn. The functional is PBE.

Calculated values
space-group type	F-43m (216)
total magnetization	7.2	μB per cell
ΔH_f (0 K)	-0.414	eV/atom

Cell and atoms, written as POSCAR:
```
GdHoAlIn
1.0
0.000 3.694 3.694
3.694 0.000 3.694
3.694 3.694 0.000
Gd Ho Al In
1 1 1 1
Direct
0.000 0.000 0.000 Gd
0.500 0.500 0.500 Ho
0.750 0.750 0.750 Al
0.250 0.250 0.250 In
```

No. 3
This record from Alexandria describes a relaxed structure of LaGdHoAl. The functional is PBE.

Calculated values
space-group type	F-43m (216)
total magnetization	8.2	μB per cell
ΔH_f (0 K)	-0.081	eV/atom

Cell and atoms, written as POSCAR:
```
LaGdHoAl
1.0
0.000 3.854 3.854
3.854 0.000 3.854
3.854 3.854 0.000
La Gd Ho Al
1 1 1 1
Direct
0.000 0.000 0.000 La
0.500 0.500 0.500 Gd
0.250 0.250 0.250 Ho
0.750 0.750 0.750 Al
```

No. 4
This record from Alexandria describes a relaxed structure of GdHoLuAl. The functional is PBE.

Calculated values
space-group type	F-43m (216)
total magnetization	7.7	μB per cell
ΔH_f (0 K)	-0.091	eV/atom

Cell and atoms, written as POSCAR:
```
GdHoLuAl
1.0
0.000 3.753 3.753
3.753 0.000 3.753
3.753 3.753 0.000
Gd Ho Lu Al
1 1 1 1
Direct
0.000 0.000 0.000 Gd
0.500 0.500 0.500 Ho
0.250 0.250 0.250 Lu
0.750 0.750 0.750 Al
```

No. 5
This record from Alexandria describes a relaxed structure of GdHoMgAl. The functional is PBE.

Calculated values
space-group type	F-43m (216)
total magnetization	7.3	μB per cell
ΔH_f (0 K)	-0.269	eV/atom

Cell and atoms, written as POSCAR:
```
GdHoMgAl
1.0
0.000 3.684 3.684
3.684 0.000 3.684
3.684 3.684 0.000
Gd Ho Mg Al
1 1 1 1
Direct
0.000 0.000 0.000 Gd
0.500 0.500 0.500 Ho
0.750 0.750 0.750 Mg
0.250 0.250 0.250 Al
```

No. 6
This record from Alexandria describes a relaxed structure of GdHoMnAl. The functional is PBE.

Calculated values
space-group type	F-43m (216)
total magnetization	10.4	μB per cell
ΔH_f (0 K)	-0.053	eV/atom

Cell and atoms, written as POSCAR:
```
GdHoMnAl
1.0
0.000 3.596 3.596
3.596 0.000 3.596
3.596 3.596 0.000
Gd Ho Mn Al
1 1 1 1
Direct
0.000 0.000 0.000 Gd
0.500 0.500 0.500 Ho
0.250 0.250 0.250 Mn
0.750 0.750 0.750 Al
```

No. 7
This record from Alexandria describes a relaxed structure of NaGdHoAl. The functional is PBE.

Calculated values
space-group type	F-43m (216)
total magnetization	7.6	μB per cell
ΔH_f (0 K)	-0.046	eV/atom

Cell and atoms, written as POSCAR:
```
NaGdHoAl
1.0
0.000 3.740 3.740
3.740 0.000 3.740
3.740 3.740 0.000
Na Gd Ho Al
1 1 1 1
Direct
0.000 0.000 0.000 Na
0.250 0.250 0.250 Gd
0.750 0.750 0.750 Ho
0.500 0.500 0.500 Al
```

No. 8
This record from Alexandria describes a relaxed structure of GdHoAlPd. The functional is PBE.

Calculated values
space-group type	F-43m (216)
total magnetization	7.2	μB per cell
ΔH_f (0 K)	-0.567	eV/atom

Cell and atoms, written as POSCAR:
```
GdHoAlPd
1.0
0.000 3.585 3.585
3.585 0.000 3.585
3.585 3.585 0.000
Gd Ho Al Pd
1 1 1 1
Direct
0.000 0.000 0.000 Gd
0.500 0.500 0.500 Ho
0.750 0.750 0.750 Al
0.250 0.250 0.250 Pd
```

No. 9
This record from Alexandria describes a relaxed structure of PrGdHoAl. The functional is PBE.

Calculated values
space-group type	F-43m (216)
total magnetization	8.1	μB per cell
ΔH_f (0 K)	-0.069	eV/atom

Cell and atoms, written as POSCAR:
```
PrGdHoAl
1.0
0.000 3.838 3.838
3.838 0.000 3.838
3.838 3.838 0.000
Pr Gd Ho Al
1 1 1 1
Direct
0.000 0.000 0.000 Pr
0.500 0.500 0.500 Gd
0.250 0.250 0.250 Ho
0.750 0.750 0.750 Al
```

No. 10
This record from Alexandria describes a relaxed structure of GdHoAlPt. The functional is PBE.

Calculated values
space-group type	F-43m (216)
total magnetization	7.1	μB per cell
ΔH_f (0 K)	-0.725	eV/atom

Cell and atoms, written as POSCAR:
```
GdHoAlPt
1.0
0.000 3.565 3.565
3.565 0.000 3.565
3.565 3.565 0.000
Gd Ho Al Pt
1 1 1 1
Direct
0.000 0.000 0.000 Gd
0.500 0.500 0.500 Ho
0.750 0.750 0.750 Al
0.250 0.250 0.250 Pt
```

No. 11
This record from Alexandria describes a relaxed structure of GdHoPuAl. The functional is PBE.

Calculated values
space-group type	F-43m (216)
total magnetization	1.0	μB per cell
ΔH_f (0 K)	0.031	eV/atom

Cell and atoms, written as POSCAR:
```
GdHoPuAl
1.0
0.000 3.755 3.755
3.755 0.000 3.755
3.755 3.755 0.000
Gd Ho Pu Al
1 1 1 1
Direct
0.000 0.000 0.000 Gd
0.750 0.750 0.750 Ho
0.500 0.500 0.500 Pu
0.250 0.250 0.250 Al
```

No. 12
This record from Alexandria describes a relaxed structure of GdHoAlRu. The functional is PBE.

Calculated values
space-group type	F-43m (216)
total magnetization	7.0	μB per cell
ΔH_f (0 K)	-0.339	eV/atom

Cell and atoms, written as POSCAR:
```
GdHoAlRu
1.0
0.000 3.510 3.510
3.510 0.000 3.510
3.510 3.510 0.000
Gd Ho Al Ru
1 1 1 1
Direct
0.000 0.000 0.000 Gd
0.500 0.500 0.500 Ho
0.750 0.750 0.750 Al
0.250 0.250 0.250 Ru
```

No. 13
This record from Alexandria describes a relaxed structure of GdHoScAl. The functional is PBE.

Calculated values
space-group type	F-43m (216)
total magnetization	7.9	μB per cell
ΔH_f (0 K)	-0.114	eV/atom

Cell and atoms, written as POSCAR:
```
GdHoScAl
1.0
0.000 3.701 3.701
3.701 0.000 3.701
3.701 3.701 0.000
Gd Ho Sc Al
1 1 1 1
Direct
0.000 0.000 0.000 Gd
0.500 0.500 0.500 Ho
0.750 0.750 0.750 Sc
0.250 0.250 0.250 Al
```

No. 14
This record from Alexandria describes a relaxed structure of GdHoThAl. The functional is PBE.

Calculated values
space-group type	F-43m (216)
total magnetization	7.5	μB per cell
ΔH_f (0 K)	-0.028	eV/atom

Cell and atoms, written as POSCAR:
```
GdHoThAl
1.0
0.000 3.810 3.810
3.810 0.000 3.810
3.810 3.810 0.000
Gd Ho Th Al
1 1 1 1
Direct
0.000 0.000 0.000 Gd
0.250 0.250 0.250 Ho
0.500 0.500 0.500 Th
0.750 0.750 0.750 Al
```

No. 15
This record from Alexandria describes a relaxed structure of GdHoTiAl. The functional is PBE.

Calculated values
space-group type	F-43m (216)
total magnetization	4.6	μB per cell
ΔH_f (0 K)	-0.040	eV/atom

Cell and atoms, written as POSCAR:
```
GdHoTiAl
1.0
0.000 3.636 3.636
3.636 0.000 3.636
3.636 3.636 0.000
Gd Ho Ti Al
1 1 1 1
Direct
0.000 0.000 0.000 Gd
0.500 0.500 0.500 Ho
0.750 0.750 0.750 Ti
0.250 0.250 0.250 Al
```

No. 16
This record from Alexandria describes a relaxed structure of GdHoAlTl. The functional is PBE.

Calculated values
space-group type	F-43m (216)
total magnetization	7.2	μB per cell
ΔH_f (0 K)	-0.338	eV/atom

Cell and atoms, written as POSCAR:
```
GdHoAlTl
1.0
0.000 3.718 3.718
3.718 0.000 3.718
3.718 3.718 0.000
Gd Ho Al Tl
1 1 1 1
Direct
0.000 0.000 0.000 Gd
0.500 0.500 0.500 Ho
0.750 0.750 0.750 Al
0.250 0.250 0.250 Tl
```

No. 17
This record from Alexandria describes a relaxed structure of GdHoTmAl. The functional is PBE.

Calculated values
space-group type	F-43m (216)
total magnetization	7.9	μB per cell
ΔH_f (0 K)	-0.081	eV/atom

Cell and atoms, written as POSCAR:
```
GdHoTmAl
1.0
0.000 3.762 3.762
3.762 0.000 3.762
3.762 3.762 0.000
Gd Ho Tm Al
1 1 1 1
Direct
0.000 0.000 0.000 Gd
0.500 0.500 0.500 Ho
0.750 0.750 0.750 Tm
0.250 0.250 0.250 Al
```

No. 18
This record from Alexandria describes a relaxed structure of GdHoAlZn. The functional is PBE.

Calculated values
space-group type	F-43m (216)
total magnetization	7.4	μB per cell
ΔH_f (0 K)	-0.370	eV/atom

Cell and atoms, written as POSCAR:
```
GdHoAlZn
1.0
0.000 3.605 3.605
3.605 0.000 3.605
3.605 3.605 0.000
Gd Ho Al Zn
1 1 1 1
Direct
0.000 0.000 0.000 Gd
0.500 0.500 0.500 Ho
0.250 0.250 0.250 Al
0.750 0.750 0.750 Zn
```

No. 19
This record from Alexandria describes a relaxed structure of Gd2AlI. The functional is PBE.

Calculated values
E_form (uncorrected)	-517	meV per atom
space-group type	R-3m (166)
total magnetization	14.2	μB per cell
offset from the most stable computed form	33	meV per atom

Cell and atoms, written as POSCAR:
```
Gd2AlI
1.0
2.148 1.240 7.559
-2.148 1.240 7.559
0.000 -2.480 7.559
Gd Al I
2 1 1
Direct
0.238 0.238 0.238 Gd
0.762 0.762 0.762 Gd
0.500 0.500 0.500 Al
0.000 0.000 0.000 I
```

No. 20
This record from Alexandria describes a relaxed structure of Gd2AlI. The functional is PBE.

Calculated values
E_form (uncorrected)	-549	meV per atom
space-group type	P4/mmm (123)
total magnetization	15.1	μB per cell
offset from the most stable computed form	0	meV per atom

Cell and atoms, written as POSCAR:
```
Gd2AlI
1.0
3.607 0.000 0.000
0.000 3.607 0.000
0.000 0.000 8.387
Gd Al I
2 1 1
Direct
0.000 0.000 0.223 Gd
0.000 0.000 0.777 Gd
0.500 0.500 0.000 Al
0.500 0.500 0.500 I
```

No. 21
This record from Alexandria describes a relaxed structure of GdAl2In. The functional is PBE.

Calculated values
space-group type	P4/mmm (123)
total magnetization	6.9	μB per cell
ΔH_f (0 K)	-0.376	eV/atom

Cell and atoms, written as POSCAR:
```
GdAl2In
1.0
4.454 0.000 0.000
0.000 4.454 0.000
0.000 0.000 4.333
Gd Al In
1 2 1
Direct
0.000 0.000 0.000 Gd
0.000 0.500 0.500 Al
0.500 0.000 0.500 Al
0.500 0.500 0.000 In
```

No. 22
This record from Alexandria describes a relaxed structure of GdAlIn. The functional is PBE.

Calculated values
space-group type	P-6m2 (187)
total magnetization	7.1	μB per cell
ΔH_f (0 K)	-0.434	eV/atom

Cell and atoms, written as POSCAR:
```
GdAlIn
1.0
4.779 0.000 0.000
-2.389 4.138 0.000
0.000 0.000 3.571
Gd Al In
1 1 1
Direct
0.000 0.000 0.000 Gd
0.333 0.667 0.500 Al
0.667 0.333 0.500 In
```

No. 23
This record from Alexandria describes a relaxed structure of GdAl4In. The functional is PBE.

Calculated values
space-group type	F-43m (216)
total magnetization	7.7	μB per cell
ΔH_f (0 K)	-0.189	eV/atom

Cell and atoms, written as POSCAR:
```
GdAl4In
1.0
0.000 3.947 3.947
3.947 0.000 3.947
3.947 3.947 0.000
Gd Al In
1 4 1
Direct
0.000 0.000 0.000 Gd
0.375 0.375 0.375 Al
0.375 0.375 0.876 Al
0.375 0.876 0.375 Al
0.876 0.375 0.375 Al
0.750 0.750 0.750 In
```

No. 24
This record from Alexandria describes a relaxed structure of GdAlIn. The functional is PBE.

Calculated values
space-group type	I4mm (107)
total magnetization	7.6	μB per cell
ΔH_f (0 K)	-0.262	eV/atom

Cell and atoms, written as POSCAR:
```
GdAlIn
1.0
-1.734 1.734 5.997
1.734 -1.734 5.997
1.734 1.734 -5.997
Gd Al In
1 1 1
Direct
0.000 0.000 0.000 Gd
0.331 0.331 0.000 Al
0.691 0.691 0.000 In
```

No. 25
This record from Alexandria describes a relaxed structure of LiGdAlIn. The functional is PBE.

Calculated values
space-group type	F-43m (216)
total magnetization	7.0	μB per cell
ΔH_f (0 K)	-0.294	eV/atom

Cell and atoms, written as POSCAR:
```
LiGdAlIn
1.0
0.000 3.554 3.554
3.554 0.000 3.554
3.554 3.554 0.000
Li Gd Al In
1 1 1 1
Direct
0.000 0.000 0.000 Li
0.500 0.500 0.500 Gd
0.250 0.250 0.250 Al
0.750 0.750 0.750 In
```

No. 26
This record from Alexandria describes a relaxed structure of GdMgAlIn. The functional is PBE.

Calculated values
space-group type	F-43m (216)
total magnetization	7.1	μB per cell
ΔH_f (0 K)	-0.240	eV/atom

Cell and atoms, written as POSCAR:
```
GdMgAlIn
1.0
0.000 3.605 3.605
3.605 0.000 3.605
3.605 3.605 0.000
Gd Mg Al In
1 1 1 1
Direct
0.000 0.000 0.000 Gd
0.500 0.500 0.500 Mg
0.250 0.250 0.250 Al
0.750 0.750 0.750 In
```

No. 27
This record from Alexandria describes a relaxed structure of NaGdAlIn. The functional is PBE.

Calculated values
space-group type	F-43m (216)
total magnetization	7.0	μB per cell
ΔH_f (0 K)	-0.159	eV/atom

Cell and atoms, written as POSCAR:
```
NaGdAlIn
1.0
0.000 3.680 3.680
3.680 0.000 3.680
3.680 3.680 0.000
Na Gd Al In
1 1 1 1
Direct
0.000 0.000 0.000 Na
0.500 0.500 0.500 Gd
0.250 0.250 0.250 Al
0.750 0.750 0.750 In
```

No. 28
This record from Alexandria describes a relaxed structure of GdScAlIn. The functional is PBE.

Calculated values
space-group type	F-43m (216)
total magnetization	7.2	μB per cell
ΔH_f (0 K)	-0.396	eV/atom

Cell and atoms, written as POSCAR:
```
GdScAlIn
1.0
0.000 3.603 3.603
3.603 0.000 3.603
3.603 3.603 0.000
Gd Sc Al In
1 1 1 1
Direct
0.000 0.000 0.000 Gd
0.500 0.500 0.500 Sc
0.250 0.250 0.250 Al
0.750 0.750 0.750 In
```

No. 29
This record from Alexandria describes a relaxed structure of GdThAlIn. The functional is PBE.

Calculated values
space-group type	F-43m (216)
total magnetization	7.2	μB per cell
ΔH_f (0 K)	-0.277	eV/atom

Cell and atoms, written as POSCAR:
```
GdThAlIn
1.0
0.000 3.773 3.773
3.773 0.000 3.773
3.773 3.773 0.000
Gd Th Al In
1 1 1 1
Direct
0.000 0.000 0.000 Gd
0.500 0.500 0.500 Th
0.250 0.250 0.250 Al
0.750 0.750 0.750 In
```

No. 30
This record from Alexandria describes a relaxed structure of GdYAlIn. The functional is PBE.

Calculated values
space-group type	F-43m (216)
total magnetization	7.2	μB per cell
ΔH_f (0 K)	-0.433	eV/atom

Cell and atoms, written as POSCAR:
```
GdYAlIn
1.0
0.000 3.705 3.705
3.705 0.000 3.705
3.705 3.705 0.000
Gd Y Al In
1 1 1 1
Direct
0.000 0.000 0.000 Gd
0.500 0.500 0.500 Y
0.250 0.250 0.250 Al
0.750 0.750 0.750 In
```

No. 31
This record from Alexandria describes a relaxed structure of GdAlIr2. The functional is PBE.

Calculated values
space-group type	P4/mmm (123)
total magnetization	7.1	μB per cell
ΔH_f (0 K)	-0.735	eV/atom

Cell and atoms, written as POSCAR:
```
GdAlIr2
1.0
3.118 0.000 0.000
0.000 3.118 0.000
0.000 0.000 6.978
Gd Al Ir
1 1 2
Direct
0.000 0.000 0.000 Gd
0.000 0.000 0.500 Al
0.500 0.500 0.291 Ir
0.500 0.500 0.709 Ir
```

Number 1: theoretical density 7.7 g/cm3. Number 2: theoretical density 7.6 g/cm3. Number 3: theoretical density 7.1 g/cm3. Number 4: theoretical density 8.2 g/cm3. Number 5: theoretical density 6.2 g/cm3. Number 6: theoretical density 7.2 g/cm3. Number 7: theoretical density 5.9 g/cm3. Number 8: theoretical density 8.2 g/cm3. Number 9: theoretical density 7.2 g/cm3. Number 10: theoretical density 10.0 g/cm3. Number 11: theoretical density 9.3 g/cm3. Number 12: theoretical density 8.6 g/cm3. Number 13: theoretical density 6.5 g/cm3. Number 14: theoretical density 8.7 g/cm3. Number 15: theoretical density 6.9 g/cm3. Number 16: theoretical density 8.9 g/cm3. Number 17: theoretical density 8.1 g/cm3. Number 18: theoretical density 7.3 g/cm3. Number 19: theoretical density 6.4 g/cm3. Number 20: theoretical density 7.1 g/cm3. Number 21: theoretical density 6.3 g/cm3. Number 22: theoretical density 7.0 g/cm3. Number 23: theoretical density 5.1 g/cm3. Number 24: theoretical density 6.9 g/cm3. Number 25: theoretical density 5.7 g/cm3. Number 26: theoretical density 5.7 g/cm3. Number 27: theoretical density 5.4 g/cm3. Number 28: theoretical density 6.1 g/cm3. Number 29: theoretical density 8.2 g/cm3. Number 30: theoretical density 6.3 g/cm3. Number 31: theoretical density 13.9 g/cm3.